A plane-wave DFT calculation with PBEsol was carried out for a geometry-optimized LiMg2Sc structure.

Unit cell a=4.9475 b=4.9475 c=4.9475 alpha=60.00 beta=60.00 gamma=60.00
Closest atoms and distances in Å follow each position.
Element x y z (fractional)
Li (0.0000, 0.0000, 0.0000)  8 Mg 3.03
Mg (0.2500, 0.2500, 0.2500)  4 Li 3.03, 4 Sc 3.03
Mg (0.7500, 0.7500, 0.7500)  4 Li 3.03, 4 Sc 3.03
Sc (0.5000, 0.5000, 0.5000)  8 Mg 3.03

Summary:
relative energy among the computed polymorphs: 0.074 eV per atom
size of the total moment: 0.0 μB per cell
formation energy: 0.044 eV per atom


A plane-wave DFT calculation with PBEsol was carried out for a geometry-optimized LiMg2Sc structure.

Unit cell a=3.3902 b=3.3902 c=7.3838 alpha=90.00 beta=90.00 gamma=90.00
Closest atoms and distances in Å follow each position.
Element x y z (fractional)
Li (0.0000, 0.0000, 0.0000)  8 Mg 2.94
Mg (0.5000, 0.5000, 0.2295)  4 Li 2.94, 4 Sc 3.12
Mg (0.5000, 0.5000, 0.7705)  4 Li 2.94, 4 Sc 3.12
Sc (0.0000, 0.0000, 0.5000)  8 Mg 3.12, 4 Sc 3.39

Summary:
relative energy among the computed polymorphs: 0.000 eV per atom
size of the total moment: 0.3 μB per cell
formation energy: -0.030 eV per atom


A plane-wave DFT calculation with PBEsol was carried out for a geometry-optimized Li2Mg2Sc structure.

Unit cell a=7.9632 b=7.9632 c=3.2046 alpha=90.00 beta=90.00 gamma=90.00
Closest atoms and distances in Å follow each position.
Element x y z (fractional)
Li (0.1222, 0.3778, 0.0000)  1 Li 2.75, 6 Mg 2.76-2.91
Li (0.3778, 0.8778, 0.0000)  1 Li 2.75, 6 Mg 2.76-2.91
Li (0.6222, 0.1222, 0.0000)  1 Li 2.75, 6 Mg 2.76-2.91
Li (0.8778, 0.6222, 0.0000)  1 Li 2.75, 6 Mg 2.76-2.91
Mg (0.1782, 0.6782, 0.5000)  6 Li 2.76-2.91
Mg (0.3218, 0.1782, 0.5000)  6 Li 2.76-2.91
Mg (0.6782, 0.8218, 0.5000)  6 Li 2.76-2.91
Mg (0.8218, 0.3218, 0.5000)  6 Li 2.76-2.91
Sc (0.0000, 0.0000, 0.0000)  4 Li 3.16, 2 Sc 3.20, 8 Mg 3.34
Sc (0.5000, 0.5000, 0.0000)  4 Li 3.16, 2 Sc 3.20, 8 Mg 3.34

Summary:
size of the total moment: 0.0 μB per cell
formation energy: 0.035 eV per atom


A plane-wave DFT calculation with PBEsol was carried out for a geometry-optimized LiMg2Sc structure.

Unit cell a=5.3763 b=5.3763 c=5.5646 alpha=96.98 beta=96.98 gamma=33.29
Closest atoms and distances in Å follow each position.
Element x y z (fractional)
Li (0.0000, 0.0000, 0.0000)  3 Sc 3.06-3.23, 2 Li 3.08, 7 Mg 3.09-3.18
Mg (0.2543, 0.2543, 0.7607)  5 Mg 3.08-3.18, 3 Li 3.09-3.11, 4 Sc 3.17-3.19
Mg (0.5047, 0.5047, 0.5007)  3 Sc 3.06-3.14, 5 Mg 3.08-3.18, 4 Li 3.18
Sc (0.7556, 0.7556, 0.2591)  3 Li 3.06-3.23, 7 Mg 3.06-3.19, 2 Sc 3.08

Summary:
relative energy among the computed polymorphs: 0.073 eV per atom
size of the total moment: 0.0 μB per cell
formation energy: 0.043 eV per atom


A plane-wave DFT calculation with PBEsol was carried out for a geometry-optimized LiMg2Sc structure.

Unit cell a=4.9153 b=4.9153 c=4.9153 alpha=60.00 beta=60.00 gamma=60.00
Closest atoms and distances in Å follow each position.
Element x y z (fractional)
Li (0.0000, 0.0000, 0.0000)  4 Sc 3.01, 4 Mg 3.01
Mg (0.2500, 0.2500, 0.2500)  4 Mg 3.01, 4 Li 3.01
Mg (0.5000, 0.5000, 0.5000)  4 Mg 3.01, 4 Sc 3.01
Sc (0.7500, 0.7500, 0.7500)  4 Mg 3.01, 4 Li 3.01

Summary:
relative energy among the computed polymorphs: 0.055 eV per atom
size of the total moment: 0.0 μB per cell
formation energy: 0.026 eV per atom


A plane-wave DFT calculation with PBEsol was carried out for a geometry-optimized LiMg2Sc structure.

Unit cell a=5.8804 b=5.8804 c=5.8804 alpha=146.75 beta=128.41 gamma=62.77
Closest atoms and distances in Å follow each position.
Element x y z (fractional)
Li (0.0000, 0.0000, 0.0000)  6 Mg 2.82-3.07, 2 Sc 3.08
Mg (0.2259, 0.7259, 0.5000)  2 Li 2.82, 2 Mg 3.03, 4 Sc 3.07
Mg (0.4765, 0.4765, 0.0000)  4 Mg 3.03-3.37, 4 Li 3.07, 2 Sc 3.16
Sc (0.7427, 0.2427, 0.5000)  6 Mg 3.07-3.16, 2 Li 3.08, 2 Sc 3.37

Summary:
relative energy among the computed polymorphs: 0.074 eV per atom
size of the total moment: 0.0 μB per cell
formation energy: 0.044 eV per atom


A plane-wave DFT calculation with PBEsol was carried out for a geometry-optimized LiMg2Sc structure.

Unit cell a=10.3593 b=10.3593 c=10.3593 alpha=17.56 beta=17.56 gamma=17.56
Closest atoms and distances in Å follow each position.
Element x y z (fractional)
Li (0.0000, 0.0000, 0.0000)  6 Mg 3.07, 6 Li 3.16
Mg (0.2526, 0.2526, 0.2526)  3 Li 3.07, 6 Mg 3.16, 3 Sc 3.20
Mg (0.7474, 0.7474, 0.7474)  3 Li 3.07, 6 Mg 3.16, 3 Sc 3.20
Sc (0.5000, 0.5000, 0.5000)  6 Sc 3.16, 6 Mg 3.20

Summary:
relative energy among the computed polymorphs: 0.041 eV per atom
size of the total moment: 0.0 μB per cell
formation energy: 0.011 eV per atom


A plane-wave DFT calculation with PBEsol was carried out for a geometry-optimized LiMg2Sc structure.

Unit cell a=5.1193 b=5.1193 c=3.3784 alpha=90.00 beta=90.00 gamma=90.00
Closest atoms and distances in Å follow each position.
Element x y z (fractional)
Li (0.0000, 0.0000, 0.0000)  8 Mg 3.07, 2 Li 3.38
Mg (0.0000, 0.5000, 0.5000)  4 Li 3.07, 4 Sc 3.07, 2 Mg 3.38
Mg (0.5000, 0.0000, 0.5000)  4 Li 3.07, 4 Sc 3.07, 2 Mg 3.38
Sc (0.5000, 0.5000, 0.0000)  8 Mg 3.07, 2 Sc 3.38

Summary:
relative energy among the computed polymorphs: 0.052 eV per atom
size of the total moment: 0.0 μB per cell
formation energy: 0.022 eV per atom


A plane-wave DFT calculation with PBEsol was carried out for a geometry-optimized LiMg2Sc structure.

Unit cell a=3.4768 b=3.4768 c=7.0249 alpha=90.00 beta=90.00 gamma=90.00
Closest atoms and distances in Å follow each position.
Element x y z (fractional)
Li (0.0000, 0.0000, 0.0000)  4 Mg 2.91, 4 Sc 3.04
Mg (0.0000, 0.0000, 0.4831)  4 Mg 3.07, 4 Sc 3.08, 1 Li 3.39
Mg (0.5000, 0.5000, 0.2206)  4 Li 2.91, 4 Mg 3.07
Sc (0.5000, 0.5000, 0.7466)  4 Li 3.04, 5 Mg 3.08-3.33

Summary:
relative energy among the computed polymorphs: 0.067 eV per atom
size of the total moment: 0.3 μB per cell
formation energy: 0.037 eV per atom


A plane-wave DFT calculation with PBEsol was carried out for a geometry-optimized Li2MgSc structure.

Unit cell a=3.0292 b=3.0292 c=9.7138 alpha=90.00 beta=90.00 gamma=106.71
Closest atoms and distances in Å follow each position.
Element x y z (fractional)
Li (0.0000, 0.0000, 0.0000)  6 Li 2.95-3.03, 2 Mg 2.98
Li (0.5000, 0.5000, 0.2398)  6 Li 2.95-3.03, 2 Sc 3.08
Mg (0.5000, 0.5000, 0.7567)  2 Li 2.98, 4 Mg 3.03, 2 Sc 3.11
Sc (0.0000, 0.0000, 0.4963)  4 Sc 3.03, 2 Li 3.08, 2 Mg 3.11

Summary:
size of the total moment: 0.0 μB per cell
formation energy: 0.057 eV per atom